(1)
A plane-wave DFT calculation with GGA-PBEsol was carried out for crystalline Be2CrMo at its relaxed geometry.

Values from the calculation:
raw total energy = -7.077 eV/atom
total magnetic moment = 0.002 μB per formula unit
energy of formation = 0.425 eV per atom
E above lowest polymorph = 338.2 meV/atom

Cell: 2.5641 2.5641 8.2960 Å, 81.11 81.11 60.00°
With the nearest neighbours (Å) after each atom.
Fractional positions:
1 Be 0.7475 0.7475 0.7575  9 Be 2.34-2.56, 3 Cr 2.43
2 Be 0.0068 0.0068 0.9797  9 Be 2.34-2.56, 3 Mo 2.59
3 Cr 0.4927 0.4927 0.5220  3 Be 2.43, 6 Cr 2.56
4 Mo 0.2531 0.2531 0.2408  6 Mo 2.56, 3 Be 2.59, 3 Cr 2.73


(2)
A plane-wave DFT calculation with GGA-PBEsol was carried out for crystalline BeCrNO2 at its relaxed geometry.

Values from the calculation:
raw total energy = -7.044 eV/atom
total magnetic moment = 0.000 μB per formula unit
raw formation energy = -390 meV per atom

Cell: 3.4849 3.4849 3.9372 Å, 90.00 90.00 90.00°
With the nearest neighbours (Å) after each atom.
Fractional positions:
1 N 0.0000 0.0000 0.5000  2 Cr 1.97
2 Be 0.5000 0.5000 0.5000  4 N 2.46, 8 O 2.63
3 O 0.0000 0.5000 0.0000  2 Cr 1.74
4 O 0.5000 0.0000 0.0000  2 Cr 1.74
5 Cr 0.0000 0.0000 0.0000  4 O 1.74


(3)
A plane-wave DFT calculation with GGA-PBEsol was carried out for crystalline BeCrSN2 at its relaxed geometry.

Values from the calculation:
raw total energy = -6.720 eV/atom
total magnetic moment = 0.177 μB per formula unit
raw formation energy = 416 meV per atom

Cell: 3.5133 3.5133 4.9820 Å, 90.00 90.00 90.00°
With the nearest neighbours (Å) after each atom.
Fractional positions:
1 S 0.0000 0.0000 0.5000  4 Be 2.48, 2 Cr 2.49
2 N 0.5000 0.0000 0.0000  2 Cr 1.76
3 N 0.0000 0.5000 0.0000  2 Cr 1.76
4 Be 0.5000 0.5000 0.5000  4 S 2.48
5 Cr 0.0000 0.0000 0.0000  4 N 1.76


(4)
A plane-wave DFT calculation with GGA-PBEsol was carried out for crystalline BeCrSe2N at its relaxed geometry.

Values from the calculation:
raw total energy = -5.683 eV/atom
total magnetic moment = 3.209 μB per formula unit
raw formation energy = 410 meV per atom

Cell: 3.0796 4.8476 4.8476 Å, 90.00 90.00 90.00°
With the nearest neighbours (Å) after each atom.
Fractional positions:
1 N 0.5000 0.0000 0.0000  2 Be 1.54
2 Cr 0.5000 0.5000 0.5000  8 Se 2.87, 2 Cr 3.08
3 Se 0.0000 0.5000 0.0000  2 Be 2.42
4 Se 0.0000 0.0000 0.5000  2 Be 2.42
5 Be 0.0000 0.0000 0.0000  2 N 1.54


(5)
A plane-wave DFT calculation with GGA-PBEsol was carried out for crystalline NaBe3Cr at its relaxed geometry.

Values from the calculation:
raw total energy = -2.819 eV/atom
total magnetic moment = 3.018 μB per formula unit
energy of formation = 1.909 eV per atom

Cell: 4.1410 4.1410 4.1410 Å, 90.00 90.00 90.00°
With the nearest neighbours (Å) after each atom.
Fractional positions:
1 Be 0.0000 0.5000 0.0000  2 Na 2.07
2 Be 0.0000 0.0000 0.5000  2 Na 2.07
3 Be 0.5000 0.0000 0.0000  2 Na 2.07
4 Cr 0.5000 0.5000 0.5000  12 Be 2.93
5 Na 0.0000 0.0000 0.0000  6 Be 2.07


(6)
A plane-wave DFT calculation with GGA-PBEsol was carried out for crystalline Be2Nb2Cr at its relaxed geometry.

Values from the calculation:
raw total energy = -8.037 eV/atom
total magnetic moment = 0.001 μB per formula unit
energy of formation = -0.060 eV per atom

Cell: 3.2846 6.1994 6.1994 Å, 90.00 90.00 90.00°
With the nearest neighbours (Å) after each atom.
Fractional positions:
1 Nb 0.5000 0.1804 0.6804  6 Be 2.41-2.50
2 Nb 0.5000 0.8196 0.3196  6 Be 2.41-2.50
3 Nb 0.5000 0.6804 0.8196  6 Be 2.41-2.50
4 Nb 0.5000 0.3196 0.1804  6 Be 2.41-2.50
5 Be 0.0000 0.8818 0.6182  1 Be 2.07
6 Be 0.0000 0.1182 0.3818  1 Be 2.07
7 Be 0.0000 0.3818 0.8818  1 Be 2.07
8 Be 0.0000 0.6182 0.1182  1 Be 2.07
9 Cr 0.0000 0.5000 0.5000  4 Be 2.48
10 Cr 0.0000 0.0000 0.0000  4 Be 2.48


Number 5 is which compound?
NaBe3Cr


Repeat the first record exactly.
A plane-wave DFT calculation with GGA-PBEsol was carried out for crystalline Be2CrMo at its relaxed geometry.

Values from the calculation:
raw total energy = -7.077 eV/atom
total magnetic moment = 0.002 μB per formula unit
energy of formation = 0.425 eV per atom
E above lowest polymorph = 338.2 meV/atom

Cell: 2.5641 2.5641 8.2960 Å, 81.11 81.11 60.00°
With the nearest neighbours (Å) after each atom.
Fractional positions:
1 Be 0.7475 0.7475 0.7575  9 Be 2.34-2.56, 3 Cr 2.43
2 Be 0.0068 0.0068 0.9797  9 Be 2.34-2.56, 3 Mo 2.59
3 Cr 0.4927 0.4927 0.5220  3 Be 2.43, 6 Cr 2.56
4 Mo 0.2531 0.2531 0.2408  6 Mo 2.56, 3 Be 2.59, 3 Cr 2.73


What did the fourth record say?
A plane-wave DFT calculation with GGA-PBEsol was carried out for crystalline BeCrSe2N at its relaxed geometry.

Values from the calculation:
raw total energy = -5.683 eV/atom
total magnetic moment = 3.209 μB per formula unit
raw formation energy = 410 meV per atom

Cell: 3.0796 4.8476 4.8476 Å, 90.00 90.00 90.00°
With the nearest neighbours (Å) after each atom.
Fractional positions:
1 N 0.5000 0.0000 0.0000  2 Be 1.54
2 Cr 0.5000 0.5000 0.5000  8 Se 2.87, 2 Cr 3.08
3 Se 0.0000 0.5000 0.0000  2 Be 2.42
4 Se 0.0000 0.0000 0.5000  2 Be 2.42
5 Be 0.0000 0.0000 0.0000  2 N 1.54